Record 1
Density functional theory data (PBE-GGA) for a relaxed structure of ZrTe2Au.

Structure (CIF):
```
data_ZrTe2Au
_chemical_formula_sum 'Zr3 Te6 Au3'
_symmetry_space_group_name_H-M 'R -3 m'
_symmetry_Int_Tables_number 166
_symmetry_space_group_name_Hall '-R 3 2"'
_cell_length_a 3.8406
_cell_length_b 3.8406
_cell_length_c 27.2503
_cell_angle_alpha 90.00
_cell_angle_beta 90.00
_cell_angle_gamma 120.00
loop_
_atom_site_label
_atom_site_type_symbol
_atom_site_fract_x
_atom_site_fract_y
_atom_site_fract_z
Zr1 Zr 0.0000 0.0000 0.0000
Te1 Te 0.0000 0.0000 0.1017
Au1 Au 0.0000 0.0000 0.5000
```

***

Record 2
Density functional theory data (PBE-GGA) for a relaxed structure of ZrTe3Au.

Structure (CIF):
```
data_ZrTe3Au
_chemical_formula_sum 'Zr2 Te6 Au2'
_symmetry_space_group_name_H-M 'P 1 21/m 1'
_symmetry_Int_Tables_number 11
_symmetry_space_group_name_Hall '-P 2yb'
_cell_length_a 7.564
_cell_length_b 3.985
_cell_length_c 10.807
_cell_angle_alpha 90.00
_cell_angle_beta 93.51
_cell_angle_gamma 90.00
loop_
_atom_site_label
_atom_site_type_symbol
_atom_site_fract_x
_atom_site_fract_y
_atom_site_fract_z
Zr1 Zr 0.069 0.250 0.149
Te1 Te 0.044 0.250 0.675
Te2 Te 0.254 0.750 0.008
Te3 Te 0.367 0.250 0.341
Au1 Au 0.400 0.250 0.673
```

***

Record 3
Density functional theory data (PBE-GGA) for a relaxed structure of ZrTe2Au.

Structure (CIF):
```
data_ZrTe2Au
_chemical_formula_sum 'Zr3 Te6 Au3'
_symmetry_space_group_name_H-M 'R -3 m'
_symmetry_Int_Tables_number 166
_symmetry_space_group_name_Hall '-R 3 2"'
_cell_length_a 3.9425
_cell_length_b 3.9425
_cell_length_c 26.6258
_cell_angle_alpha 90.00
_cell_angle_beta 90.00
_cell_angle_gamma 120.00
loop_
_atom_site_label
_atom_site_type_symbol
_atom_site_fract_x
_atom_site_fract_y
_atom_site_fract_z
Zr1 Zr 0.0000 0.0000 0.0000
Te1 Te 0.0000 0.0000 0.4013
Au1 Au 0.0000 0.0000 0.5000
```

***

Calculated total DFT energy (no corrections), -0.1566, -0.1724, -0.1846 hartree per atom (same order as the records).